No. 1
First-principles (PBE-GGA) data for a geometry-optimized Mn2SiW structure, as listed in the Alexandria database.

It has space group Immm (No. 71), with a = 2.6627 Å, b = 4.3746 Å, c = 9.8847 Å, α = 90.00°, β = 90.00° and γ = 90.00°. Symmetry generates all atoms from Mn at (0.0000, 0.0000, 0.2322), Si at (0.0000, 0.0000, 0.0000) and W at (0.0000, 0.0000, 0.5000).

The value obtained for the total energy is -69.237 eV per cell.

=====

No. 2
First-principles (PBE-GGA) data for a geometry-optimized Ac2Al3Si2 structure, as listed in the Alexandria database.

It has space group C2/m (No. 12), with a = 11.9966 Å, b = 4.1845 Å, c = 6.8960 Å, α = 90.00°, β = 98.06° and γ = 90.00°. Symmetry generates all atoms from Ac at (0.1598, 0.0000, 0.2415), Al at (0.0000, 0.5000, 0.5000), Al at (0.0687, 0.5000, 0.8747) and Si at (0.1289, 0.0000, 0.7155).

The value obtained for the total energy is -66.447 eV per cell.

=====

No. 3
First-principles (PBE-GGA) data for a geometry-optimized SrOsRu2 structure, as listed in the Alexandria database.

It has space group P4/mmm (No. 123), with a = 4.8154 Å, b = 4.8154 Å, c = 2.9499 Å, α = 90.00°, β = 90.00° and γ = 90.00°. Symmetry generates all atoms from Sr at (0.0000, 0.0000, 0.0000), Os at (0.5000, 0.5000, 0.0000) and Ru at (0.0000, 0.5000, 0.5000).

The value obtained for the total energy is -27.788 eV per cell.

=====

No. 4
First-principles (PBE-GGA) data for a geometry-optimized Ca3ZnCd structure, as listed in the Alexandria database.

It has space group P2_1/m (No. 11), with a = 8.7579 Å, b = 4.0900 Å, c = 9.1082 Å, α = 90.00°, β = 108.59° and γ = 90.00°. Symmetry generates all atoms from Ca at (0.0720, 0.2500, 0.2126), Ca at (0.3126, 0.2500, 0.9212), Ca at (0.3405, 0.7500, 0.5726), Zn at (0.0585, 0.2500, 0.5855) and Cd at (0.3695, 0.7500, 0.2117).

The value obtained for the total energy is -18.691 eV per cell.

=====

No. 5
First-principles (PBE-GGA) data for a geometry-optimized In7Ag2Hg2 structure, as listed in the Alexandria database.

It has space group Cm (No. 8), with a = 9.9284 Å, b = 13.4262 Å, c = 4.5750 Å, α = 90.00°, β = 113.01° and γ = 90.00°. Symmetry generates all atoms from In at (0.0000, 0.0000, 0.0000), In at (0.0003, 0.3605, 0.0407), In at (0.0040, 0.1688, 0.5189), In at (0.2560, 0.3228, 0.7910), Ag at (0.0525, 0.5000, 0.5850), Ag at (0.2719, 0.5000, 0.2870) and Hg at (0.2690, 0.1291, 0.3248).

The value obtained for the total energy is -49.980 eV per cell.

=====

No. 6
First-principles (PBE-GGA) data for a geometry-optimized ReRuAu2 structure, as listed in the Alexandria database.

It has space group Cmm2 (No. 35), with a = 2.8633 Å, b = 4.7182 Å, c = 9.8246 Å, α = 90.00°, β = 90.00° and γ = 90.00°. Symmetry generates all atoms from Re at (0.0000, 0.0000, 0.0000), Ru at (0.0000, 0.5000, 0.7859), Au at (0.0000, 0.0000, 0.5279) and Au at (0.0000, 0.5000, 0.2603).

The value obtained for the total energy is -53.720 eV per cell.